Density functional theory data (PBE) for IrRu2F after structural relaxation.

crystal system: cubic
volume: 215 Å³ per cell
ΔE_f (raw): 0.267 eV/atom

Lattice parameters (Å, degrees): 5.993 5.993 5.993 90.00 90.00 90.00
Space group Fm-3m (No. 225)
Inequivalent atoms, fractional coordinates:
Ir (0.000, 0.000, 0.000) [4 per cell]
Ru (0.250, 0.250, 0.250) [8 per cell]
F (0.000, 0.000, 0.500) [4 per cell]

Density functional theory data (PBE) for Ir3RuF after structural relaxation.

crystal system: cubic
volume: 104 Å³ per cell
ΔE_f (raw): 1.876 eV/atom

Lattice parameters (Å, degrees): 4.697 4.697 4.697 90.00 90.00 90.00
Space group Pm-3m (No. 221)
Inequivalent atoms, fractional coordinates:
Ir (0.000, 0.000, 0.500) [3 per cell]
Ru (0.000, 0.000, 0.000) [1 per cell]
F (0.500, 0.500, 0.500) [1 per cell]

Density functional theory data (PBE) for IrRuF2 after structural relaxation.

crystal system: tetragonal
volume: 240 Å³ per cell
ΔE_f (raw): 0.310 eV/atom

Lattice parameters (Å, degrees): 7.108 7.108 4.754 90.00 90.00 90.00
Space group I-42d (No. 122)
Inequivalent atoms, fractional coordinates:
Ir (0.000, 0.000, 0.000) [4 per cell]
Ru (0.000, 0.000, 0.500) [4 per cell]
F (0.139, 0.250, 0.625) [8 per cell]

Density functional theory data (PBE) for Ir2RuF after structural relaxation.

crystal system: cubic
volume: 218 Å³ per cell
ΔE_f (raw): 0.392 eV/atom

Lattice parameters (Å, degrees): 6.021 6.021 6.021 90.00 90.00 90.00
Space group Fm-3m (No. 225)
Inequivalent atoms, fractional coordinates:
Ir (0.250, 0.250, 0.250) [8 per cell]
Ru (0.000, 0.000, 0.000) [4 per cell]
F (0.000, 0.000, 0.500) [4 per cell]

Density functional theory data (PBE) for IrRu2F after structural relaxation.

crystal system: tetragonal
volume: 227 Å³ per cell
ΔE_f (raw): 0.487 eV/atom

Lattice parameters (Å, degrees): 6.375 6.375 5.590 90.00 90.00 90.00
Space group I-42d (No. 122)
Inequivalent atoms, fractional coordinates:
Ir (0.000, 0.000, 0.000) [4 per cell]
Ru (0.223, 0.750, 0.625) [8 per cell]
F (0.000, 0.000, 0.500) [4 per cell]

Density functional theory data (PBE) for IrRuF2 after structural relaxation.

crystal system: cubic
volume: 210 Å³ per cell
ΔE_f (raw): 0.588 eV/atom

Lattice parameters (Å, degrees): 5.940 5.940 5.940 90.00 90.00 90.00
Space group Fm-3m (No. 225)
Inequivalent atoms, fractional coordinates:
Ir (0.000, 0.000, 0.000) [4 per cell]
Ru (0.000, 0.000, 0.500) [4 per cell]
F (0.250, 0.250, 0.250) [8 per cell]

Density functional theory data (PBE) for IrRuF6 after structural relaxation.

crystal system: trigonal
volume: 99 Å³ per cell
ΔE_f (raw): -1.388 eV/atom

Lattice parameters (Å, degrees): 4.9508 4.9508 4.6478 90.00 90.00 120.00
Space group P312 (No. 149)
Inequivalent atoms, fractional coordinates:
Ir (0.0000, 0.0000, 0.0000) [1 per cell]
Ru (0.6667, 0.3333, 0.5000) [1 per cell]
F (0.0059, 0.3412, 0.7526) [6 per cell]

Density functional theory data (PBE) for Ir3RuF after structural relaxation.

crystal system: cubic
volume: 74 Å³ per cell
ΔE_f (raw): 1.432 eV/atom

Lattice parameters (Å, degrees): 4.202 4.202 4.202 90.00 90.00 90.00
Space group Pm-3m (No. 221)
Inequivalent atoms, fractional coordinates:
Ir (0.000, 0.000, 0.500) [3 per cell]
Ru (0.500, 0.500, 0.500) [1 per cell]
F (0.000, 0.000, 0.000) [1 per cell]